Cs2IrO5 PBE relaxed; Fermi-level density of states = 3.8 states/eV/cell; total magnetization = 1.01 μB per cell; V = 22.331 A^3/atom; E_tot = -42.57 eV for the cell shown; space group = P4/mmm
1.0
6.772 0.000 0.000
0.000 6.772 0.000
0.000 0.000 3.895
Cs Ir O
2 1 5
Direct
0.000 0.500 0.000
0.500 0.000 0.000
0.000 0.000 0.500
0.000 0.000 0.000
0.195 0.195 0.500
0.195 0.805 0.500
0.805 0.195 0.500
0.805 0.805 0.500

CePaSbTe PBE relaxed; Fermi-level density of states = 11.4 states/eV/cell; total magnetization = 3.08 μB per cell; V = 27.423 A^3/atom; E_tot = -25.77 eV for the cell shown; space group = F-43m
1.0
0.000 3.799 3.799
3.799 0.000 3.799
3.799 3.799 0.000
Ce Pa Sb Te
1 1 1 1
Direct
0.000 0.000 0.000
0.500 0.500 0.500
0.250 0.250 0.250
0.750 0.750 0.750

Cd2ReOF PBE relaxed; Fermi-level density of states = 3.9 states/eV/cell; total magnetization = 3.41 μB per cell; V = 17.071 A^3/atom; E_tot = -17.63 eV for the cell shown; space group = P4/mmm
1.0
4.622 0.000 0.000
0.000 4.622 0.000
0.000 0.000 3.995
Cd Re O F
2 1 1 1
Direct
0.000 0.500 0.000
0.500 0.000 0.000
0.000 0.000 0.500
0.500 0.500 0.000
0.500 0.500 0.500